Record 1
VASP calculation (PBE-GGA) on a relaxed structure of LaCeAg.

a b c (Å): 5.0015 5.0015 3.7135
angles (deg): 90.00 90.00 120.00
Space group P3m1 (No. 156)
Unique sites:
La (0.0000, 0.0000, 0.0000)
Ce (0.3333, 0.6667, 0.3313)
Ag (0.6667, 0.3333, 0.6419)

Calculated values
The calculation puts the density of states at the Fermi level at 1.87 states/eV per atom. The value obtained for the energy above the lowest structure with this stoichiometry is 95 meV/atom.

---

Record 2
VASP calculation (PBE-GGA) on a relaxed structure of MgHCl2.

a b c (Å): 5.2982 5.2982 21.5709
angles (deg): 90.00 90.00 120.00
Space group R-3m (No. 166, hexagonal axes)
Unique sites:
Mg (0.0000, 0.0000, 0.0000)
H (0.0000, 0.0000, 0.5000)
Cl (0.0000, 0.0000, 0.1005)

Calculated values
For the energy, the calculation gives -9.8 eV/f.u. The calculation puts the density of states at the Fermi level at 0.00 states/eV per atom.

---

Record 3
VASP calculation (PBE-GGA) on a relaxed structure of Pm2TlHg3.

a b c (Å): 3.6985 3.7045 25.1714
angles (deg): 90.00 90.00 90.00
Space group Imm2 (No. 44)
Unique sites:
Pm (0.0000, 0.0000, 0.0000)
Pm (0.0000, 0.5000, 0.2454)
Tl (0.0000, 0.0000, 0.4171)
Hg (0.0000, 0.0000, 0.5767)
Hg (0.0000, 0.5000, 0.6678)
Hg (0.0000, 0.5000, 0.8220)

Calculated values
The calculation puts the density of states at the Fermi level at 0.95 states/eV per atom. The value obtained for the energy above the lowest structure with this stoichiometry is 138 meV/atom.

---

Record 4
VASP calculation (PBE-GGA) on a relaxed structure of TaBe2Tl.

a b c (Å): 8.9276 2.8919 5.2596
angles (deg): 90.00 96.94 90.00
Space group C2/m (No. 12)
Unique sites:
Ta (0.0000, 0.0000, 0.0000)
Be (0.2386, 0.5000, 0.1489)
Tl (0.0000, 0.5000, 0.5000)

Calculated values
The calculation puts the density of states at the Fermi level at 0.56 states/eV per atom. The value obtained for the energy above the lowest structure with this stoichiometry is 213 meV/atom.

---

Record 5
VASP calculation (PBE-GGA) on a relaxed structure of Ag2MoRh.

a b c (Å): 3.7682 3.7682 4.6165
angles (deg): 90.00 90.00 90.00
Space group P4/mmm (No. 123)
Unique sites:
Ag (0.0000, 0.5000, 0.0000)
Mo (0.0000, 0.0000, 0.5000)
Rh (0.5000, 0.5000, 0.5000)

Calculated values
The calculation puts the density of states at the Fermi level at 1.31 states/eV per atom. The value obtained for the energy above the lowest structure with this stoichiometry is 392 meV/atom.

---

Record 6
VASP calculation (PBE-GGA) on a relaxed structure of KNaH4Pt.

a b c (Å): 5.2300 14.2807 5.3003
angles (deg): 90.00 90.00 90.00
Space group Cmcm (No. 63)
Unique sites:
K (0.0000, 0.0997, 0.2500)
Na (0.0000, 0.3586, 0.2500)
H (0.0000, 0.1292, 0.7500)
H (0.0000, 0.3661, 0.7500)
H (0.2500, 0.2500, 0.0000)
Pt (0.0000, 0.2486, 0.7500)

Calculated values
For the energy, the calculation gives -24.0 eV/f.u. The calculation puts the density of states at the Fermi level at 0.14 states/eV per atom.

---

Record 7
VASP calculation (PBE-GGA) on a relaxed structure of CaMnIr2.

a b c (Å): 2.9052 2.9052 8.3489
angles (deg): 90.00 90.00 90.00
Space group P4mm (No. 99)
Unique sites:
Ca (0.0000, 0.0000, 0.0000)
Mn (0.5000, 0.5000, 0.6758)
Ir (0.0000, 0.0000, 0.4807)
Ir (0.5000, 0.5000, 0.2640)

Calculated values
The calculation puts the density of states at the Fermi level at 0.93 states/eV per atom. The value obtained for the energy above the lowest structure with this stoichiometry is 309 meV/atom.

---

Record 8
VASP calculation (PBE-GGA) on a relaxed structure of AcYHfN3.

a b c (Å): 6.1048 3.5833 8.9337
angles (deg): 90.00 102.77 90.00
Space group P2_1/m (No. 11)
Unique sites:
Ac (0.1438, 0.2500, 0.1945)
Y (0.2668, 0.7500, 0.5432)
Hf (0.3689, 0.2500, 0.8553)
N (0.0671, 0.2500, 0.6715)
N (0.2957, 0.7500, 0.9696)
N (0.4612, 0.7500, 0.3314)

Calculated values
The calculation puts the density of states at the Fermi level at 0.38 states/eV per atom. The calculation puts the uncorrected formation energy at -1.463 eV per atom.

---

Record 9
VASP calculation (PBE-GGA) on a relaxed structure of LiP2SCl.

a b c (Å): 4.6850 4.6850 4.8991
angles (deg): 90.00 90.00 90.00
Space group P4/mmm (No. 123)
Unique sites:
Li (0.0000, 0.0000, 0.0000)
P (0.0000, 0.5000, 0.5000)
S (0.5000, 0.5000, 0.0000)
Cl (0.5000, 0.5000, 0.5000)

Calculated values
The calculation puts the density of states at the Fermi level at 0.58 states/eV per atom. The calculation puts the uncorrected formation energy at 0.944 eV per atom. The value obtained for the energy above the lowest structure with this stoichiometry is 663 meV/atom.

---

Record 10
VASP calculation (PBE-GGA) on a relaxed structure of Sm3HgIr.

a b c (Å): 5.7487 6.7321 8.3924
angles (deg): 100.82 101.76 113.29
Space group P-1 (No. 2)
Unique sites:
Sm (0.0582, 0.1978, 0.3081)
Sm (0.3051, 0.8329, 0.1197)
Sm (0.3184, 0.4527, 0.7614)
Hg (0.3516, 0.7475, 0.4879)
Ir (0.2384, 0.1827, 0.9852)

Calculated values
The calculation puts the density of states at the Fermi level at 0.88 states/eV per atom. The value obtained for the energy above the lowest structure with this stoichiometry is 35 meV/atom.

---

Record 11
VASP calculation (PBE-GGA) on a relaxed structure of CaSmCl6.

a b c (Å): 10.8697 10.8697 10.8697
angles (deg): 90.00 90.00 90.00
Space group Fm-3m (No. 225)
Unique sites:
Ca (0.0000, 0.0000, 0.0000)
Sm (0.0000, 0.0000, 0.5000)
Cl (0.0000, 0.0000, 0.2517)

Calculated values
The calculation puts the density of states at the Fermi level at 1.52 states/eV per atom. The calculation puts the uncorrected formation energy at -1.861 eV per atom.

---

Record 12
VASP calculation (PBE-GGA) on a relaxed structure of MgTi2P2O10.

a b c (Å): 7.4286 7.4934 7.4382
angles (deg): 90.00 119.68 90.00
Space group P2_1/c (No. 14)
Unique sites:
Mg (0.0000, 0.0000, 0.0000)
Ti (0.2665, 0.2224, 0.7943)
P (0.2442, 0.6187, 0.9946)
O (0.0600, 0.7505, 0.4165)
O (0.2103, 0.0054, 0.3130)
O (0.2311, 0.1586, 0.0000)
O (0.2625, 0.5055, 0.1765)
O (0.4434, 0.7294, 0.0698)

Calculated values
The calculation puts the density of states at the Fermi level at 0.00 states/eV per atom. The calculation puts the uncorrected formation energy at -2.684 eV per atom. The value obtained for the energy above the lowest structure with this stoichiometry is 0 meV/atom.